DFT (GGA-PBE) results for a relaxed Cs2NaCdH5 crystal.

Results
Raw total energy   -2.370 eV per atom
V   829 Å³ per cell

Geometry as CIF:
```
data_Cs2NaCdH5
_cell_length_a 8.428
_cell_length_b 8.428
_cell_length_c 11.666
_cell_angle_alpha 90.00
_cell_angle_beta 90.00
_cell_angle_gamma 90.00
_symmetry_space_group_name_H-M 'I 4/m c m'
_symmetry_Int_Tables_number 140
_symmetry_space_group_name_Hall '-I 4 2c'
loop_
_atom_site_label
_atom_site_type_symbol
_atom_site_fract_x
_atom_site_fract_y
_atom_site_fract_z
Cs1 Cs 0.185 0.315 0.000
Na1 Na 0.000 0.000 0.250
Cd1 Cd 0.000 0.500 0.250
H1 H 0.000 0.000 0.000
H2 H 0.127 0.373 0.340
```